(1)
## MgZrTiF2 (GGA-PBE)

Data for MgZrTiF2 after structural relaxation.

Size of the total moment (μB per atom): 0.0006
Formation energy (no corrections) (kJ/mol of atoms): -104
Calculated density (g cm⁻³): 3.14
Total energy (eV/atom): -5.436

Cell lengths 3.8063, 3.8063, 7.3466 Å; angles 90.00, 90.00, 90.00 degrees
Last column: nearest neighbours and their distance in Å.
Space group P4/mmm (No. 123)
Symmetry-distinct sites (fractional):
Mg: 0.0000 0.0000 0.0000 x1  4 F 1.90
Zr: 0.5000 0.5000 0.5000 x1  4 Ti 2.69
Ti: 0.0000 0.0000 0.5000 x1  4 Zr 2.69
F: 0.0000 0.5000 0.0000 x2  2 Mg 1.90



(2)
## Pm7Ag2Pt2 (GGA-PBE)

Data for Pm7Ag2Pt2 after structural relaxation.

Size of the total moment (μB per atom): 0.0000
Calculated density (g cm⁻³): 8.07
Total energy (eV/atom): -5.030
Formation enthalpy at 0 K (eV/atom): -0.39

Cell lengths 8.1400, 11.1728, 7.3341 Å; angles 90.00, 90.00, 90.00 degrees
Last column: nearest neighbours and their distance in Å.
Space group Cmmm (No. 65)
Symmetry-distinct sites (fractional):
Pm: 0.0000 0.0000 0.0000 x2  2 Pt 3.21
Pm: 0.0000 0.5000 0.2531 x4  2 Pt 3.02, 2 Ag 3.20
Pm: 0.2500 0.2500 0.2600 x8  2 Pt 2.82
Ag: 0.1758 0.0000 0.5000 x4  1 Ag 2.86, 2 Pm 3.20
Pt: 0.0000 0.2872 0.0000 x4  6 Pm 2.82-3.02



(3)
## CdTeBr3 (GGA-PBE)

Data for CdTeBr3 after structural relaxation.

Size of the total moment (μB per atom): 0.0000
Formation energy (no corrections) (kJ/mol of atoms): -8
Calculated density (g cm⁻³): 4.39
Total energy (eV/atom): -1.901

Cell lengths 5.6634, 5.6634, 5.6634 Å; angles 90.00, 90.00, 90.00 degrees
Last column: nearest neighbours and their distance in Å.
Space group Pm-3m (No. 221)
Symmetry-distinct sites (fractional):
Cd: 0.0000 0.0000 0.0000 x1  12 Br 4.00
Te: 0.5000 0.5000 0.5000 x1  6 Br 2.83
Br: 0.0000 0.5000 0.5000 x3  2 Te 2.83



(4)
## BaInAu10 (GGA-PBE)

Data for BaInAu10 after structural relaxation.

Size of the total moment (μB per atom): 0.0000
Calculated density (g cm⁻³): 13.89
Total energy (eV/atom): -3.352
Formation enthalpy at 0 K (eV/atom): -0.23

Cell lengths 4.6818, 5.7514, 9.8674 Å; angles 90.00, 90.00, 90.00 degrees
Last column: nearest neighbours and their distance in Å.
Space group Pmmm (No. 47)
Symmetry-distinct sites (fractional):
Ba: 0.0000 0.0000 0.0000 x1  18 Au 3.41-3.71
In: 0.0000 0.5000 0.5000 x1  6 Au 2.97-3.26
Au: 0.0000 0.0000 0.3451 x2  7 Au 2.80-3.06
Au: 0.0000 0.5000 0.1994 x2  6 Au 2.80-3.06, 1 In 2.97
Au: 0.5000 0.0000 0.5000 x1  8 Au 2.80-2.88
Au: 0.5000 0.2436 0.2445 x4  8 Au 2.80-2.95
Au: 0.5000 0.5000 0.0000 x1  8 Au 2.83-3.06



(5)
## Ca2MgSb (GGA-PBE)

Data for Ca2MgSb after structural relaxation.

Size of the total moment (μB per atom): 0.0000
Polymorph energy (0 for the lowest one) (eV/atom): 0.000
Formation energy (no corrections) (kJ/mol of atoms): -55
Calculated density (g cm⁻³): 3.01
Total energy (eV/atom): -3.004

Cell lengths 4.5324, 4.5950, 11.9740 Å; angles 90.00, 90.00, 90.00 degrees
Last column: nearest neighbours and their distance in Å.
Space group Amm2 (No. 38)
Symmetry-distinct sites (fractional):
Ca: 0.0000 0.0000 0.0000 x2  4 Sb 3.30, 3 Mg 3.40-3.46
Ca: 0.5000 0.0000 0.2841 x2  3 Sb 3.30-3.54, 4 Mg 3.33
Mg: 0.0000 0.0000 0.7160 x2  2 Sb 2.94
Sb: 0.5000 0.0000 0.5595 x2  2 Mg 2.94



(6)
## Sr2RuSe (GGA-PBE)

Data for Sr2RuSe after structural relaxation.

Size of the total moment (μB per atom): 0.1265
Formation energy (no corrections) (kJ/mol of atoms): -9
Calculated density (g cm⁻³): 5.14
Total energy (eV/atom): -4.121

Cell lengths 3.6178, 3.6178, 8.7655 Å; angles 90.00, 90.00, 90.00 degrees
Last column: nearest neighbours and their distance in Å.
Space group P4mm (No. 99)
Symmetry-distinct sites (fractional):
Sr: 0.0000 0.0000 0.0000 x1  1 Ru 2.94
Sr: 0.5000 0.5000 0.4073 x1  1 Se 3.04
Ru: 0.0000 0.0000 0.6646 x1  4 Se 2.67, 1 Sr 2.94
Se: 0.5000 0.5000 0.7537 x1  4 Ru 2.67



(7)
## Zr4TeC (GGA-PBE)

Data for Zr4TeC after structural relaxation.

Size of the total moment (μB per atom): 0.0000
Formation energy (no corrections) (kJ/mol of atoms): -46
Calculated density (g cm⁻³): 6.65
Total energy (eV/atom): -8.240

Cell lengths 7.6339, 13.1696, 5.7843 Å; angles 90.00, 119.89, 90.00 degrees
Last column: nearest neighbours and their distance in Å.
Space group C2/c (No. 15)
Symmetry-distinct sites (fractional):
Zr: 0.1165 0.2088 0.1170 x8  1 C 2.36
Zr: 0.2004 0.0531 0.6981 x8  2 C 2.27-2.32
Te: 0.0000 0.3909 0.7500 x4  8 Zr 2.94-3.03
C: 0.0000 0.0665 0.2500 x4  6 Zr 2.27-2.36



(8)
## Sr2Np2O7 (GGA-PBE)

Data for Sr2Np2O7 after structural relaxation.

Size of the total moment (μB per atom): 0.3633
Polymorph energy (0 for the lowest one) (eV/atom): 0.000
Formation energy (no corrections) (kJ/mol of atoms): -290
Calculated density (g cm⁻³): 7.11
Total energy (eV/atom): -8.825

Cell lengths 11.2474, 11.2474, 11.2474 Å; angles 90.00, 90.00, 90.00 degrees
Last column: nearest neighbours and their distance in Å.
Space group Fd-3m (No. 227, origin choice 2)
Symmetry-distinct sites (fractional):
Sr: 0.0000 0.0000 0.0000 x16  2 O 2.44
Np: 0.0000 0.0000 0.5000 x16  6 O 2.14
O: 0.0707 0.3750 0.8750 x48  2 Np 2.14
O: 0.1250 0.1250 0.1250 x8  4 Sr 2.44



Repeat the seventh record exactly.
## Zr4TeC (GGA-PBE)

Data for Zr4TeC after structural relaxation.

Size of the total moment (μB per atom): 0.0000
Formation energy (no corrections) (kJ/mol of atoms): -46
Calculated density (g cm⁻³): 6.65
Total energy (eV/atom): -8.240

Cell lengths 7.6339, 13.1696, 5.7843 Å; angles 90.00, 119.89, 90.00 degrees
Last column: nearest neighbours and their distance in Å.
Space group C2/c (No. 15)
Symmetry-distinct sites (fractional):
Zr: 0.1165 0.2088 0.1170 x8  1 C 2.36
Zr: 0.2004 0.0531 0.6981 x8  2 C 2.27-2.32
Te: 0.0000 0.3909 0.7500 x4  8 Zr 2.94-3.03
C: 0.0000 0.0665 0.2500 x4  6 Zr 2.27-2.36



> Look up the total energy of the first one.

-5.436 eV/atom